No. 1
CaPtI3: single point on PBEsol structure, meta-GGA SCAN.

Values from the calculation:
* SG: Pm-3m, No. 221

Cell lengths 5.440, 5.440, 5.440 Å; angles 90.00, 90.00, 90.00 degrees
Atoms (fractional coordinates):
I  0.000  0.500  0.000
I  0.000  0.000  0.500
I  0.500  0.000  0.000
Ca  0.500  0.500  0.500
Pt  0.000  0.000  0.000

No. 2
CaTe2PtI: single point on PBEsol structure, meta-GGA SCAN.

Values from the calculation:
* SG: P4/mmm, No. 123

Cell lengths 5.308, 5.308, 5.430 Å; angles 90.00, 90.00, 90.00 degrees
Atoms (fractional coordinates):
I  0.000  0.000  0.500
Ca  0.500  0.500  0.500
Te  0.000  0.500  0.000
Te  0.500  0.000  0.000
Pt  0.000  0.000  0.000

No. 3
CaPtW2I: single point on PBEsol structure, meta-GGA SCAN.

Values from the calculation:
* SG: P4/mmm, No. 123

Cell lengths 4.806, 4.806, 5.324 Å; angles 90.00, 90.00, 90.00 degrees
Atoms (fractional coordinates):
I  0.000  0.000  0.000
Ca  0.000  0.000  0.500
W  0.000  0.500  0.000
W  0.500  0.000  0.000
Pt  0.500  0.500  0.500

No. 4
CaPt2WI: single point on PBEsol structure, meta-GGA SCAN.

Values from the calculation:
* SG: P4/mmm, No. 123

Cell lengths 4.852, 4.852, 5.476 Å; angles 90.00, 90.00, 90.00 degrees
Last column: magnetic moment on the atom in μB.
Atoms (fractional coordinates):
I  0.500  0.500  0.500  -0.06
Ca  0.000  0.000  0.000  0.09
W  0.000  0.000  0.500  3.20
Pt  0.000  0.500  0.000  0.16
Pt  0.500  0.000  0.000  0.16

No. 5
RbCa3I: single point on PBEsol structure, meta-GGA SCAN.

Values from the calculation:
* SG: Pm-3m, No. 221

Cell lengths 6.262, 6.262, 6.262 Å; angles 90.00, 90.00, 90.00 degrees
Atoms (fractional coordinates):
I  0.000  0.000  0.000
Ca  0.000  0.500  0.000
Ca  0.000  0.000  0.500
Ca  0.500  0.000  0.000
Rb  0.500  0.500  0.500

No. 6
Rb3CaI: single point on PBEsol structure, meta-GGA SCAN.

Values from the calculation:
* SG: Pm-3m, No. 221

Cell lengths 7.002, 7.002, 7.002 Å; angles 90.00, 90.00, 90.00 degrees
Atoms (fractional coordinates):
I  0.000  0.000  0.000
Ca  0.500  0.500  0.500
Rb  0.000  0.500  0.000
Rb  0.000  0.000  0.500
Rb  0.500  0.000  0.000

No. 7
RbCaSe2I: single point on PBEsol structure, meta-GGA SCAN.

Values from the calculation:
* SG: P4/mmm, No. 123

Cell lengths 5.412, 5.986, 5.986 Å; angles 90.00, 90.00, 90.00 degrees
Atoms (fractional coordinates):
I  0.000  0.000  0.000
Ca  0.500  0.000  0.000
Se  0.000  0.000  0.500
Se  0.000  0.500  0.000
Rb  0.500  0.500  0.500

No. 8
Rb2CaTcI: single point on PBEsol structure, meta-GGA SCAN.

Values from the calculation:
* SG: P4/mmm, No. 123

Cell lengths 6.032, 6.598, 6.598 Å; angles 90.00, 90.00, 90.00 degrees
Last column: magnetic moment on the atom in μB.
Atoms (fractional coordinates):
I  0.000  0.000  0.000  0.00
Ca  0.500  0.000  0.000  -0.02
Tc  0.500  0.500  0.500  3.79
Rb  0.000  0.000  0.500  0.01
Rb  0.000  0.500  0.000  0.01

No. 9
Ca2ReI: single point on PBEsol structure, meta-GGA SCAN.

Values from the calculation:
* SG: Fm-3m, No. 225

Cell lengths 5.179, 5.179, 5.179 Å; angles 60.00, 60.00, 60.00 degrees
Last column: magnetic moment on the atom in μB.
Atoms (fractional coordinates):
I  0.000  0.000  0.000  0.06
Re  0.500  0.500  0.500  1.44
Ca  0.250  0.250  0.250  -0.01
Ca  0.750  0.750  0.750  -0.01

No. 10
CaRhI2: single point on PBEsol structure, meta-GGA SCAN.

Values from the calculation:
* SG: Fm-3m, No. 225

Cell lengths 5.169, 5.169, 5.169 Å; angles 60.00, 60.00, 60.00 degrees
Last column: magnetic moment on the atom in μB.
Atoms (fractional coordinates):
I  0.250  0.250  0.250  0.06
I  0.750  0.750  0.750  0.06
Ca  0.000  0.000  0.000  0.00
Rh  0.500  0.500  0.500  0.89

No. 11
CaSb2RhI: single point on PBEsol structure, meta-GGA SCAN.

Values from the calculation:
* SG: P4/mmm, No. 123

Cell lengths 5.068, 5.068, 5.644 Å; angles 90.00, 90.00, 90.00 degrees
Last column: magnetic moment on the atom in μB.
Atoms (fractional coordinates):
I  0.000  0.000  0.500  0.07
Sb  0.000  0.500  0.000  0.12
Sb  0.500  0.000  0.000  0.12
Ca  0.500  0.500  0.500  0.03
Rh  0.000  0.000  0.000  0.31

No. 12
CaTeRh2I: single point on PBEsol structure, meta-GGA SCAN.

Values from the calculation:
* SG: P4/mmm, No. 123

Cell lengths 4.849, 4.849, 5.428 Å; angles 90.00, 90.00, 90.00 degrees
Last column: magnetic moment on the atom in μB.
Atoms (fractional coordinates):
I  0.000  0.000  0.500  -0.05
Ca  0.000  0.000  0.000  -0.04
Te  0.500  0.500  0.500  -0.02
Rh  0.000  0.500  0.000  0.74
Rh  0.500  0.000  0.000  0.74

Respective raw total energy values: -38.57 -38.69 -48.83 -49.14 -17.31 -22.14 -21.86 -23.94 -31.23 -29.52 -31.14 -29.12 eV/atom.
Respective size of the total moment values: 0.00 0.00 0.00 4.65 0.37 1.10 0.00 4.80 2.01 1.00 1.09 1.36 μB per formula unit.
Respective energy relative to the elements, uncorrected values: -2.757 -2.351 11.840 10.756 -0.100 -2.068 -1.978 3.240 2.246 -1.151 -1.022 5.615 eV/f.u..